<1>
Entry from the Alexandria database: a relaxed AlAuBr crystal (PBE).

Cell: 6.919 6.500 3.543 Å, 81.35 68.24 30.41°
Fractional coordinates of all 3 atoms:
Al1 0.000 0.000 0.000
Au1 0.628 0.628 0.372
Br1 0.343 0.343 0.657

Properties
Density of states at the Fermi level (states/eV/atom): 0.186
Crystal system: orthorhombic


<2>
Entry from the Alexandria database: a relaxed AlAuBr crystal (PBE).

Cell: 4.767 4.767 4.767 Å, 60.00 60.00 60.00°
Fractional coordinates of all 3 atoms:
Al1 0.000 0.000 0.000
Au1 0.250 0.250 0.250
Br1 0.500 0.500 0.500

Properties
Density of states at the Fermi level (states/eV/atom): 0.694
Crystal system: cubic


Energetically preferred structure: <1> | next structure: +32.1 kJ/mol of atoms


<1>
Entry from the Alexandria database: a relaxed Al3AuBr crystal (PBE).

Cell: 5.308 5.308 5.308 Å, 90.00 90.00 90.00°
Fractional coordinates of all 5 atoms:
Al1 0.000 0.000 0.500
Al2 0.000 0.500 0.000
Al3 0.500 0.000 0.000
Au1 0.500 0.500 0.500
Br1 0.000 0.000 0.000

Properties
Density of states at the Fermi level (states/eV/atom): 0.391
Crystal system: cubic


<2>
Entry from the Alexandria database: a relaxed Al3AuBr crystal (PBE).

Cell: 4.978 4.978 4.978 Å, 90.00 90.00 90.00°
Fractional coordinates of all 5 atoms:
Al1 0.000 0.000 0.500
Al2 0.000 0.500 0.000
Al3 0.500 0.000 0.000
Au1 0.000 0.000 0.000
Br1 0.500 0.500 0.500

Properties
Density of states at the Fermi level (states/eV/atom): 0.468
Crystal system: cubic


Energetically preferred structure: <2> | next structure: +92.2 kJ/mol of atoms


<1>
Entry from the Alexandria database: a relaxed Rb2AlAuBr6 crystal (PBE).

Cell: 7.730 7.730 7.730 Å, 121.34 121.34 87.69°
Fractional coordinates of all 10 atoms:
Rb1 0.250 0.750 0.500
Rb2 0.750 0.250 0.500
Al1 0.000 0.000 0.000
Au1 0.500 0.500 0.000
Br1 0.223 0.223 0.000
Br2 0.242 0.242 0.484
Br3 0.242 0.758 0.000
Br4 0.758 0.242 0.000
Br5 0.758 0.758 0.516
Br6 0.777 0.777 0.000

Properties
Density of states at the Fermi level (states/eV/atom): 0.006
Crystal system: tetragonal


<2>
Entry from the Alexandria database: a relaxed Rb2AlAuBr6 crystal (PBE).

Cell: 7.304 7.639 9.187 Å, 67.56 83.06 65.74°
Fractional coordinates of all 10 atoms:
Rb1 0.000 0.000 0.000
Rb2 0.406 0.973 0.424
Al1 0.806 0.296 0.379
Au1 0.436 0.359 0.927
Br1 0.370 0.723 0.813
Br2 0.458 0.455 0.375
Br3 0.511 0.993 0.041
Br4 0.904 0.942 0.431
Br5 0.946 0.420 0.141
Br6 0.949 0.333 0.573

Properties
Density of states at the Fermi level (states/eV/atom): 0.000
Crystal system: triclinic


Energetically preferred structure: <2> | next structure: +12.9 kJ/mol of atoms


<1>
Entry from the Alexandria database: a relaxed AlAuC3 crystal (PBE).

Cell: 3.957 3.957 3.957 Å, 90.00 90.00 90.00°
Fractional coordinates of all 5 atoms:
Al1 0.000 0.000 0.000
Au1 0.500 0.500 0.500
C1 0.000 0.000 0.500
C2 0.000 0.500 0.000
C3 0.500 0.000 0.000

Properties
Density of states at the Fermi level (states/eV/atom): 0.581
Crystal system: cubic


<2>
Entry from the Alexandria database: a relaxed AlAuC3 crystal (PBE).

Cell: 4.150 4.150 4.150 Å, 90.00 90.00 90.00°
Fractional coordinates of all 5 atoms:
Al1 0.000 0.000 0.000
Au1 0.500 0.500 0.500
C1 0.000 0.500 0.500
C2 0.500 0.000 0.500
C3 0.500 0.500 0.000

Properties
Density of states at the Fermi level (states/eV/atom): 1.044
Crystal system: cubic


Energetically preferred structure: <1> | next structure: +59.6 kJ/mol of atoms